Entry 1:
The following is a GGA-PBEsol calculation of a geometry-optimized LaCrGe3 structure, from Alexandria.

abc: 5.4618 5.4618 5.4618
angles: 90.00 90.00 90.00
Last column: magnetic moment on the atom in μB.
Element x y z (fractional)
La  0.0000  0.0000  0.0000  -0.10
Ge  0.0000  0.0000  0.5000  -0.08
Ge  0.5000  0.0000  0.0000  -0.08
Ge  0.0000  0.5000  0.0000  -0.08
Cr  0.5000  0.5000  0.5000  4.16

* electronic total energy: -23.5 eV/f.u.
* DOS(E_F): 0.92 states/eV/atom
* energy of formation from the pure elements: 1.387 eV per atom
* ρ: 4.17 g/cm3

***

Entry 2:
The following is a GGA-PBEsol calculation of a geometry-optimized RbSc3In structure, from Alexandria.

abc: 5.5331 5.5331 5.5331
angles: 90.00 90.00 90.00
Last column: magnetic moment on the atom in μB.
Element x y z (fractional)
Sc  0.5000  0.0000  0.0000  0.19
Sc  0.0000  0.0000  0.5000  0.19
Sc  0.0000  0.5000  0.0000  0.19
In  0.0000  0.0000  0.0000  0.01
Rb  0.5000  0.5000  0.5000  0.02

* electronic total energy: -21.0 eV/f.u.
* DOS(E_F): 1.79 states/eV/atom
* energy of formation from the pure elements: 0.574 eV per atom
* ρ: 3.29 g/cm3

***

Entry 3:
The following is a GGA-PBEsol calculation of a geometry-optimized TcAu2Br structure, from Alexandria.

abc: 2.8676 4.4285 6.8704
angles: 108.80 102.05 90.00
Element x y z (fractional)
Tc  0.7698  0.2698  0.5395
Au  0.2183  0.7183  0.4367
Au  0.0840  0.0840  0.1681
Br  0.4278  0.4278  0.8557

* electronic total energy: -19.3 eV/f.u.
* DOS(E_F): 0.85 states/eV/atom
* formation energy (no corrections): 0.43 eV per atom
* ρ: 11.79 g/cm3

***

Entry 4:
The following is a GGA-PBEsol calculation of a geometry-optimized NbZnPt structure, from Alexandria.

abc: 4.3944 5.1950 5.1950
angles: 61.22 64.98 64.98
Element x y z (fractional)
Zn  0.6627  0.3373  0.3373
Zn  0.3373  0.6627  0.6627
Nb  0.0000  0.7530  0.2470
Nb  0.0000  0.2470  0.7530
Pt  0.6715  0.8285  0.8285
Pt  0.3285  0.1715  0.1715

* electronic total energy: -20.9 eV/f.u.
* DOS(E_F): 0.43 states/eV/atom
* energy of formation from the pure elements: -0.523 eV per atom
* ρ: 12.96 g/cm3

***

Entry 5:
The following is a GGA-PBEsol calculation of a geometry-optimized LiCd2Cl structure, from Alexandria.

abc: 3.7666 3.9890 6.2715
angles: 90.00 90.00 90.00
Element x y z (fractional)
Cd  0.5000  0.5000  0.0000
Cd  0.0000  0.0000  0.0000
Cl  0.5000  0.0000  0.5000
Li  0.0000  0.5000  0.5000

* electronic total energy: -8.4 eV/f.u.
* DOS(E_F): 0.21 states/eV/atom
* formation energy (no corrections): -0.52 eV per atom
* ρ: 4.71 g/cm3

***

Entry 6:
The following is a GGA-PBEsol calculation of a geometry-optimized ZnAg2Os structure, from Alexandria.

abc: 2.6746 4.7797 4.9645
angles: 109.00 90.00 90.00
Element x y z (fractional)
Os  0.5000  0.0000  0.5000
Ag  0.5000  0.5000  0.0000
Ag  0.0000  0.0000  0.0000
Zn  0.0000  0.5000  0.5000

* electronic total energy: -19.0 eV/f.u.
* DOS(E_F): 0.44 states/eV/atom
* energy of formation from the pure elements: 0.345 eV per atom
* ρ: 13.04 g/cm3

***

Entry 7:
The following is a GGA-PBEsol calculation of a geometry-optimized ReAu2F structure, from Alexandria.

abc: 4.3862 4.3862 4.3862
angles: 60.00 60.00 60.00
Element x y z (fractional)
Re  0.5000  0.5000  0.5000
Au  0.2500  0.2500  0.2500
Au  0.7500  0.7500  0.7500
F  0.0000  0.0000  0.0000

* electronic total energy: -20.7 eV/f.u.
* DOS(E_F): 0.80 states/eV/atom
* formation energy (no corrections): 0.59 eV per atom
* ρ: 16.67 g/cm3

***

Entry 8:
The following is a GGA-PBEsol calculation of a geometry-optimized TaTlH2Rh structure, from Alexandria.

abc: 3.8548 3.8548 4.9388
angles: 90.00 90.00 90.00
Element x y z (fractional)
Ta  0.0000  0.0000  0.5000
Rh  0.0000  0.0000  0.0000
H  0.0000  0.5000  0.0000
H  0.5000  0.0000  0.0000
Tl  0.5000  0.5000  0.5000

* electronic total energy: -26.6 eV/f.u.
* DOS(E_F): 0.60 states/eV/atom
* ρ: 11.09 g/cm3